Density functional theory data (PBE+U) for a geometry-optimized LiMn2ZnO4 structure.

Values from the calculation:
* M_tot: 7.0 μB/f.u.
* E: -49.6 eV per cell

Structure (POSCAR):
```
LiMn2ZnO4
1.0
-1.429 -1.031 -2.465
3.044 -4.322 0.043
-2.322 -3.806 2.938
Mn O Li Zn
2 4 1 1
Cartesian
-2.322 -3.806 2.938
-1.875 -2.418 0.236
-1.371 -3.066 -1.647
0.971 -4.838 -0.401
-1.678 -4.321 0.917
0.664 -6.093 2.163
0.807 -2.677 -1.211
0.361 -4.064 1.491
```